# KCuPd

A relaxed structure of KCuPd (GGA-PBE, OQMD).

Cell lengths 4.6450, 4.6450, 4.6450 Å; angles 60.00, 60.00, 60.00 degrees
Fractional positions:
K 0.0000 0.0000 0.0000
Cu 0.2500 0.2500 0.2500
Pd 0.5000 0.5000 0.5000

Properties
Relative energy among the computed polymorphs   0 kJ/mol of formula units

***

# KCuPd

A relaxed structure of KCuPd (GGA-PBE, OQMD).

Cell lengths 4.8000, 4.8000, 4.8000 Å; angles 60.00, 60.00, 60.00 degrees
Fractional positions:
K 0.0000 0.0000 0.0000
Cu 0.7500 0.7500 0.7500
Pd 0.2500 0.2500 0.2500

Properties
Relative energy among the computed polymorphs   129 kJ/mol of formula units

***

# KCu3PdS4

A relaxed structure of KCu3PdS4 (GGA-PBE, OQMD).

Cell lengths 5.8523, 5.8523, 5.8523 Å; angles 90.00, 90.00, 90.00 degrees
Fractional positions:
K 0.0000 0.0000 0.0000
Cu 0.0000 0.5000 0.5000
Cu 0.5000 0.0000 0.5000
Cu 0.5000 0.5000 0.0000
Pd 0.5000 0.5000 0.5000
S 0.2745 0.2745 0.2745
S 0.2745 0.7255 0.7255
S 0.7255 0.2745 0.7255
S 0.7255 0.7255 0.2745

Properties
DFT total energy   -3.900 eV/atom